No. 1
A relaxed Tc2RhSe crystal, computed with PBE.

The structure in POSCAR format:
```
Tc2RhSe
1.0
4.872 -0.005 0.003
4.006 2.773 0.003
0.214 0.067 4.534
Rh Se Tc
1 1 2
direct
0.475 0.475 0.514
0.260 0.260 0.222
0.021 0.021 0.984
0.745 0.745 0.780
```

Results
density: 10.23 g cm⁻³
crystal system: monoclinic
total energy: -7.72 eV/atom

---

No. 2
A relaxed HfTa2MnSb crystal, computed with PBE.

The structure in POSCAR format:
```
HfTa2MnSb
1.0
4.607 0.000 0.000
0.000 4.843 0.000
0.000 0.000 4.607
Sb Mn Hf Ta
1 1 1 2
direct
0.500 0.500 0.500
0.000 0.000 0.000
0.000 0.500 0.000
0.000 0.000 0.500
0.500 0.000 0.000
```

Results
density: 11.58 g cm⁻³
crystal system: tetragonal
total energy: -8.95 eV/atom

---

No. 3
A relaxed CeMg2Cd crystal, computed with PBE.

The structure in POSCAR format:
```
CeMg2Cd
1.0
-2.699 0.705 1.432
-0.210 -0.174 3.123
2.196 10.674 2.317
Ce Mg Cd
1 2 1
direct
0.501 0.501 0.498
0.078 0.078 0.767
0.255 0.255 0.234
0.666 0.666 0.001
```

Results
density: 5.34 g cm⁻³
crystal system: trigonal
ΔE_f: -16 kJ/mol of formula units
E above lowest polymorph: 0.088 eV/atom

---

No. 4
A relaxed MgSiSe crystal, computed with PBE.

The structure in POSCAR format:
```
MgSiSe
1.0
3.882 0.000 0.000
-1.941 3.362 0.000
0.000 0.000 9.824
Mg Si Se
2 2 2
direct
0.000 0.000 0.666
0.667 0.333 0.991
0.000 0.000 0.203
0.667 0.333 0.292
0.333 0.667 0.843
0.667 0.333 0.531
```

Results
density: 3.40 g cm⁻³
crystal system: trigonal
E above lowest polymorph: 0.029 eV/atom

---

No. 5
A relaxed CaPb4S5 crystal, computed with PBE.

The structure in POSCAR format:
```
CaPb4S5
1.0
-0.108 -3.944 -1.433
0.861 -2.031 5.526
-10.811 2.719 -0.519
Ca Pb S
1 4 5
direct
0.000 0.000 0.000
0.401 0.401 0.802
0.801 0.801 0.603
0.199 0.199 0.397
0.599 0.599 0.198
0.593 0.093 0.187
0.798 0.298 0.597
0.202 0.702 0.403
0.000 0.500 0.000
0.407 0.907 0.813
```

Results
density: 6.49 g cm⁻³
crystal system: orthorhombic
total energy: -4.60 eV/atom

---

No. 6
A relaxed NaHgSCl crystal, computed with PBE.

The structure in POSCAR format:
```
NaHgSCl
1.0
4.457 0.000 0.000
-2.228 3.855 0.000
0.000 0.000 6.307
Na Hg S Cl
1 1 1 1
direct
0.170 0.339 0.500
0.837 0.673 0.000
0.170 0.340 0.000
0.836 0.672 0.500
```

Results
density: 4.46 g cm⁻³
crystal system: hexagonal
total energy: -2.76 eV/atom

---

No. 7
A relaxed NdEuI2 crystal, computed with PBE.

The structure in POSCAR format:
```
NdEuI2
1.0
3.934 0.000 0.000
0.000 3.934 0.000
0.000 0.000 7.973
Eu I Nd
1 2 1
direct
0.500 0.500 0.500
0.000 0.000 0.762
0.000 0.000 0.238
0.500 0.500 0.000
```

Results
density: 7.40 g cm⁻³
crystal system: tetragonal
E above lowest polymorph: 0.032 eV/atom

---

No. 8
A relaxed Hf2ZrBr8 crystal, computed with PBE.

The structure in POSCAR format:
```
Hf2ZrBr8
1.0
6.498 -0.357 -0.271
-0.384 8.304 -0.533
-0.384 1.723 8.141
Hf Zr Br
2 1 8
direct
0.673 0.824 0.824
0.327 0.176 0.176
0.000 0.000 0.000
0.205 0.313 0.895
0.795 0.105 0.687
0.287 0.847 0.847
0.713 0.153 0.153
0.205 0.895 0.313
0.795 0.687 0.105
0.745 0.635 0.635
0.255 0.365 0.365
```

Results
density: 4.07 g cm⁻³
crystal system: monoclinic
total energy: -4.91 eV/atom